This record from Alexandria describes a relaxed structure of LiZnNi2. The functional is PBEsol.

Cell lengths 2.533, 2.533, 8.346 Å; angles 81.27, 81.27, 60.00 degrees
Fractional coordinates of all 4 atoms:
Ni 0.249 0.249 0.254
Ni 0.751 0.751 0.746
Zn 0.500 0.500 0.500
Li 0.000 0.000 0.000

Values from the calculation:
- energy of formation (eV/atom) = -0.0453
- calculated volume (Å³/cell) = 45.65
- uncorrected energy (eV per atom) = -4.01
- SG = No. 166